DFT (GGA-PBE) results for crystalline TiBeCo2 at its relaxed geometry.

Properties
As for the total energy: -6.3736 eV per atom. The formation energy comes out at 0.085 eV per atom.

a b c (Å): 4.974 4.974 4.974
angles (deg): 104.70 104.70 119.50
Fractional coordinates of all 8 atoms:
Ti (0.000, 0.000, 0.000)
Ti (0.750, 0.250, 0.500)
Be (0.250, 0.750, 0.500)
Be (0.500, 0.500, 0.000)
Co (0.169, 0.625, 0.044)
Co (0.375, 0.419, 0.544)
Co (0.581, 0.125, 0.956)
Co (0.875, 0.831, 0.456)

***

DFT (GGA-PBE) results for crystalline Ti8C6O at its relaxed geometry.

Properties
As for the total energy: -8.8691 eV per atom.

a b c (Å): 8.023 8.023 3.183
angles (deg): 90.00 90.00 120.00
Fractional coordinates of all 15 atoms:
Ti (0.031, 0.674, 0.242)
Ti (0.326, 0.357, 0.242)
Ti (0.333, 0.667, 0.752)
Ti (0.357, 0.031, 0.758)
Ti (0.643, 0.969, 0.242)
Ti (0.667, 0.333, 0.248)
Ti (0.674, 0.643, 0.758)
Ti (0.969, 0.326, 0.758)
C (0.139, 0.473, 0.255)
C (0.334, 0.861, 0.255)
C (0.473, 0.334, 0.745)
C (0.527, 0.666, 0.255)
C (0.666, 0.139, 0.745)
C (0.861, 0.527, 0.745)
O (0.000, 0.000, 0.000)

***

DFT (GGA-PBE) results for crystalline CsAl3Ni at its relaxed geometry.

Properties
As for the total energy: -1.3080 eV per atom. The formation energy comes out at 2.264 eV per atom.

a b c (Å): 5.841 5.841 5.841
angles (deg): 90.00 90.00 90.00
Fractional coordinates of all 5 atoms:
Cs (0.000, 0.000, 0.000)
Al (0.000, 0.000, 0.500)
Al (0.000, 0.500, 0.000)
Al (0.500, 0.000, 0.000)
Ni (0.500, 0.500, 0.500)

***

DFT (GGA-PBE) results for crystalline InBiPb2 at its relaxed geometry.

Properties
As for the total energy: -3.3235 eV per atom. The formation energy comes out at 0.186 eV per atom.

a b c (Å): 8.529 8.529 8.529
angles (deg): 131.81 131.81 70.53
Fractional coordinates of all 8 atoms:
In (0.000, 0.000, 0.000)
In (0.750, 0.250, 0.500)
Bi (0.250, 0.750, 0.500)
Bi (0.500, 0.500, 0.000)
Pb (0.111, 0.625, 0.986)
Pb (0.375, 0.361, 0.486)
Pb (0.639, 0.125, 0.014)
Pb (0.875, 0.889, 0.514)

***

DFT (GGA-PBE) results for crystalline Sr2CaRe at its relaxed geometry.

Properties
As for the total energy: -3.6753 eV per atom. The formation energy comes out at 0.778 eV per atom.

a b c (Å): 8.843 8.843 8.843
angles (deg): 157.48 145.68 41.44
Fractional coordinates of all 4 atoms:
Sr (0.156, 0.156, 0.000)
Sr (0.844, 0.844, 0.000)
Ca (0.500, 0.000, 0.500)
Re (0.000, 0.500, 0.500)

***

DFT (GGA-PBE) results for crystalline ZrZn2Pt at its relaxed geometry.

Properties
As for the total energy: -4.7006 eV per atom. The formation energy comes out at -0.416 eV per atom.

a b c (Å): 4.760 4.760 4.754
angles (deg): 103.98 103.98 41.42
Fractional coordinates of all 4 atoms:
Zr (0.000, 0.000, 0.000)
Zn (0.239, 0.239, 0.710)
Zn (0.761, 0.761, 0.290)
Pt (0.500, 0.500, 0.500)

***

DFT (GGA-PBE) results for crystalline Zr5Tl4H at its relaxed geometry.

Properties
As for the total energy: -5.5862 eV per atom.

a b c (Å): 7.216 7.216 4.536
angles (deg): 108.19 108.19 84.38
Fractional coordinates of all 10 atoms:
Zr (0.000, 0.000, 0.000)
Zr (0.000, 0.342, 0.670)
Zr (0.000, 0.658, 0.330)
Zr (0.342, 0.000, 0.670)
Zr (0.658, 0.000, 0.330)
Tl (0.315, 0.315, 0.314)
Tl (0.315, 0.685, 0.000)
Tl (0.685, 0.315, 0.000)
Tl (0.685, 0.685, 0.686)
H (0.000, 0.000, 0.500)

***

DFT (GGA-PBE) results for crystalline Al3CuBi at its relaxed geometry.

Properties
As for the total energy: -3.6178 eV per atom. The formation energy comes out at 0.223 eV per atom.

a b c (Å): 4.718 4.718 4.718
angles (deg): 90.00 90.00 90.00
Fractional coordinates of all 5 atoms:
Al (0.000, 0.000, 0.500)
Al (0.000, 0.500, 0.000)
Al (0.500, 0.000, 0.000)
Cu (0.000, 0.000, 0.000)
Bi (0.500, 0.500, 0.500)

***

DFT (GGA-PBE) results for crystalline Sr2Al2N at its relaxed geometry.

Properties
As for the total energy: -3.3371 eV per atom.

a b c (Å): 6.554 6.554 5.362
angles (deg): 90.00 90.00 90.00
Fractional coordinates of all 10 atoms:
Sr (0.170, 0.330, 0.000)
Sr (0.330, 0.830, 0.000)
Sr (0.670, 0.170, 0.000)
Sr (0.830, 0.670, 0.000)
Al (0.153, 0.653, 0.500)
Al (0.347, 0.153, 0.500)
Al (0.653, 0.847, 0.500)
Al (0.847, 0.347, 0.500)
N (0.000, 0.000, 0.500)
N (0.500, 0.500, 0.500)

***

DFT (GGA-PBE) results for crystalline Th2PaCd at its relaxed geometry.

Properties
As for the total energy: -6.0926 eV per atom. The formation energy comes out at 0.220 eV per atom.

a b c (Å): 5.437 5.437 5.437
angles (deg): 60.00 60.00 60.00
Fractional coordinates of all 4 atoms:
Th (0.250, 0.250, 0.250)
Th (0.750, 0.750, 0.750)
Pa (0.000, 0.000, 0.000)
Cd (0.500, 0.500, 0.500)

***

DFT (GGA-PBE) results for crystalline BeAlO2 at its relaxed geometry.

Properties
As for the total energy: -6.4460 eV per atom.

a b c (Å): 5.461 5.461 5.461
angles (deg): 30.17 30.17 30.17
Fractional coordinates of all 4 atoms:
Be (0.000, 0.000, 0.000)
Al (0.500, 0.500, 0.500)
O (0.104, 0.104, 0.104)
O (0.896, 0.896, 0.896)

***

DFT (GGA-PBE) results for crystalline TlRuSe2N at its relaxed geometry.

Properties
As for the total energy: -3.5678 eV per atom.

a b c (Å): 5.453 5.453 4.184
angles (deg): 90.00 90.00 90.00
Fractional coordinates of all 5 atoms:
Tl (0.000, 0.000, 0.000)
Ru (0.500, 0.500, 0.500)
Se (0.000, 0.500, 0.000)
Se (0.500, 0.000, 0.000)
N (0.000, 0.000, 0.500)